Sr2PtI | PBE | relaxed

The structure in CIF format:
```
data_Sr2PtI
_chemical_formula_sum 'Sr8 Pt4 I4'
_cell_length_a 8.322
_cell_length_b 8.322
_cell_length_c 9.103
_cell_angle_alpha 90.00
_cell_angle_beta 90.00
_cell_angle_gamma 90.00
_space_group_name_H-M_alt 'I -4 2 d'
_space_group_IT_number 122
_space_group_name_Hall 'I -4 2bw'
loop_
_atom_site_label
_atom_site_fract_x
_atom_site_fract_y
_atom_site_fract_z
Sr1 0.204 0.250 0.125
Pt1 0.000 0.000 0.000
I1 0.000 0.000 0.500
```

Summary:
* Fermi-level density of states: 1.05 states/eV per atom
* spin magnetization: 0.00 μB/f.u.
* final energy: -3.5464 eV per atom



Sr3PtI2 | PBE | relaxed

The structure in CIF format:
```
data_Sr3PtI2
_chemical_formula_sum 'Sr6 Pt2 I4'
_cell_length_a 4.452
_cell_length_b 6.396
_cell_length_c 15.776
_cell_angle_alpha 90.00
_cell_angle_beta 90.00
_cell_angle_gamma 90.00
_space_group_name_H-M_alt 'I m m m'
_space_group_IT_number 71
_space_group_name_Hall '-I 2 2'
loop_
_atom_site_label
_atom_site_fract_x
_atom_site_fract_y
_atom_site_fract_z
Sr1 0.000 0.000 0.000
Sr2 0.000 0.000 0.373
Pt1 0.000 0.500 0.000
I1 0.000 0.500 0.305
```

Summary:
* Fermi-level density of states: 0.71 states/eV per atom
* spin magnetization: 0.00 μB/f.u.
* final energy: -3.5012 eV per atom



Sr4PtI2 | PBE | relaxed

The structure in CIF format:
```
data_Sr4PtI2
_chemical_formula_sum 'Sr8 Pt2 I4'
_cell_length_a 5.997
_cell_length_b 5.997
_cell_length_c 17.025
_cell_angle_alpha 90.00
_cell_angle_beta 90.00
_cell_angle_gamma 90.00
_space_group_name_H-M_alt 'I 4/m m m'
_space_group_IT_number 139
_space_group_name_Hall '-I 4 2'
loop_
_atom_site_label
_atom_site_fract_x
_atom_site_fract_y
_atom_site_fract_z
Sr1 0.000 0.000 0.175
Sr2 0.000 0.500 0.000
Pt1 0.000 0.000 0.000
I1 0.000 0.000 0.375
```

Summary:
* Fermi-level density of states: 1.08 states/eV per atom
* spin magnetization: 0.00 μB/f.u.
* final energy: -3.0803 eV per atom



Sr3PtI | PBE | relaxed

The structure in CIF format:
```
data_Sr3PtI
_chemical_formula_sum 'Sr3 Pt1 I1'
_cell_length_a 5.976
_cell_length_b 5.976
_cell_length_c 5.976
_cell_angle_alpha 90.00
_cell_angle_beta 90.00
_cell_angle_gamma 90.00
_space_group_name_H-M_alt 'P m -3 m'
_space_group_IT_number 221
_space_group_name_Hall '-P 4 2 3'
loop_
_atom_site_label
_atom_site_fract_x
_atom_site_fract_y
_atom_site_fract_z
Sr1 0.000 0.000 0.500
Pt1 0.000 0.000 0.000
I1 0.500 0.500 0.500
```

Summary:
* Fermi-level density of states: 0.44 states/eV per atom
* spin magnetization: 0.00 μB/f.u.
* final energy: -3.2648 eV per atom



Sr2PtI | PBE | relaxed

The structure in CIF format:
```
data_Sr2PtI
_chemical_formula_sum 'Sr2 Pt1 I1'
_cell_length_a 3.865
_cell_length_b 3.865
_cell_length_c 8.348
_cell_angle_alpha 90.00
_cell_angle_beta 90.00
_cell_angle_gamma 90.00
_space_group_name_H-M_alt 'P 4/m m m'
_space_group_IT_number 123
_space_group_name_Hall '-P 4 2'
loop_
_atom_site_label
_atom_site_fract_x
_atom_site_fract_y
_atom_site_fract_z
Sr1 0.000 0.000 0.205
Pt1 0.500 0.500 0.000
I1 0.500 0.500 0.500
```

Summary:
* Fermi-level density of states: 0.41 states/eV per atom
* spin magnetization: 0.00 μB/f.u.
* final energy: -3.7426 eV per atom



Sr2PtI4 | PBE | relaxed

The structure in CIF format:
```
data_Sr2PtI4
_chemical_formula_sum 'Sr4 Pt2 I8'
_cell_length_a 5.422
_cell_length_b 5.422
_cell_length_c 17.983
_cell_angle_alpha 90.00
_cell_angle_beta 90.00
_cell_angle_gamma 90.00
_space_group_name_H-M_alt 'I 4/m m m'
_space_group_IT_number 139
_space_group_name_Hall '-I 4 2'
loop_
_atom_site_label
_atom_site_fract_x
_atom_site_fract_y
_atom_site_fract_z
Sr1 0.000 0.000 0.125
Pt1 0.000 0.000 0.500
I1 0.000 0.000 0.306
I2 0.000 0.500 0.000
```

Summary:
* Fermi-level density of states: 0.05 states/eV per atom
* spin magnetization: 0.00 μB/f.u.
* final energy: -3.1943 eV per atom



Sr2PtI | PBE | relaxed

The structure in CIF format:
```
data_Sr2PtI
_chemical_formula_sum 'Sr8 Pt4 I4'
_cell_length_a 7.898
_cell_length_b 7.898
_cell_length_c 7.898
_cell_angle_alpha 90.00
_cell_angle_beta 90.00
_cell_angle_gamma 90.00
_space_group_name_H-M_alt 'F m -3 m'
_space_group_IT_number 225
_space_group_name_Hall '-F 4 2 3'
loop_
_atom_site_label
_atom_site_fract_x
_atom_site_fract_y
_atom_site_fract_z
Sr1 0.250 0.250 0.250
Pt1 0.000 0.000 0.000
I1 0.000 0.000 0.500
```

Summary:
* Fermi-level density of states: 0.48 states/eV per atom
* spin magnetization: 0.00 μB/f.u.
* final energy: -3.5409 eV per atom



SrPtI2 | PBE | relaxed

The structure in CIF format:
```
data_SrPtI2
_chemical_formula_sum 'Sr4 Pt4 I8'
_cell_length_a 6.008
_cell_length_b 6.008
_cell_length_c 16.526
_cell_angle_alpha 90.00
_cell_angle_beta 90.00
_cell_angle_gamma 90.00
_space_group_name_H-M_alt 'I -4 2 d'
_space_group_IT_number 122
_space_group_name_Hall 'I -4 2bw'
loop_
_atom_site_label
_atom_site_fract_x
_atom_site_fract_y
_atom_site_fract_z
Sr1 0.000 0.000 0.000
Pt1 0.000 0.000 0.500
I1 0.187 0.250 0.625
```

Summary:
* Fermi-level density of states: 0.00 states/eV per atom
* spin magnetization: 0.00 μB/f.u.
* final energy: -3.2681 eV per atom



SrTe2PtI | PBE | relaxed

The structure in CIF format:
```
data_SrTe2PtI
_chemical_formula_sum 'Sr1 Te2 Pt1 I1'
_cell_length_a 5.420
_cell_length_b 5.420
_cell_length_c 5.564
_cell_angle_alpha 90.00
_cell_angle_beta 90.00
_cell_angle_gamma 90.00
_space_group_name_H-M_alt 'P 4/m m m'
_space_group_IT_number 123
_space_group_name_Hall '-P 4 2'
loop_
_atom_site_label
_atom_site_fract_x
_atom_site_fract_y
_atom_site_fract_z
Sr1 0.000 0.000 0.000
Te1 0.000 0.500 0.500
Pt1 0.500 0.500 0.500
I1 0.500 0.500 0.000
```

Summary:
* Fermi-level density of states: 0.77 states/eV per atom
* spin magnetization: 0.00 μB/f.u.
* final energy: -3.6575 eV per atom



SrTe2PtI | PBE | relaxed

The structure in CIF format:
```
data_SrTe2PtI
_chemical_formula_sum 'Sr1 Te2 Pt1 I1'
_cell_length_a 6.263
_cell_length_b 6.263
_cell_length_c 6.099
_cell_angle_alpha 90.00
_cell_angle_beta 90.00
_cell_angle_gamma 90.00
_space_group_name_H-M_alt 'P 4/m m m'
_space_group_IT_number 123
_space_group_name_Hall '-P 4 2'
loop_
_atom_site_label
_atom_site_fract_x
_atom_site_fract_y
_atom_site_fract_z
Sr1 0.000 0.000 0.000
Te1 0.000 0.500 0.000
Pt1 0.500 0.500 0.500
I1 0.000 0.000 0.500
```

Summary:
* Fermi-level density of states: 2.15 states/eV per atom
* spin magnetization: 2.62 μB/f.u.
* final energy: -2.3917 eV per atom



SrTl2PtI | PBE | relaxed

The structure in CIF format:
```
data_SrTl2PtI
_chemical_formula_sum 'Sr1 Tl2 Pt1 I1'
_cell_length_a 5.326
_cell_length_b 5.326
_cell_length_c 6.123
_cell_angle_alpha 90.00
_cell_angle_beta 90.00
_cell_angle_gamma 90.00
_space_group_name_H-M_alt 'P 4/m m m'
_space_group_IT_number 123
_space_group_name_Hall '-P 4 2'
loop_
_atom_site_label
_atom_site_fract_x
_atom_site_fract_y
_atom_site_fract_z
Sr1 0.000 0.000 0.000
Tl1 0.000 0.500 0.500
Pt1 0.000 0.000 0.500
I1 0.500 0.500 0.000
```

Summary:
* Fermi-level density of states: 0.50 states/eV per atom
* spin magnetization: 0.00 μB/f.u.
* final energy: -3.3919 eV per atom



SrZn2PtI | PBE | relaxed

The structure in CIF format:
```
data_SrZn2PtI
_chemical_formula_sum 'Sr1 Zn2 Pt1 I1'
_cell_length_a 4.935
_cell_length_b 4.935
_cell_length_c 5.982
_cell_angle_alpha 90.00
_cell_angle_beta 90.00
_cell_angle_gamma 90.00
_space_group_name_H-M_alt 'P 4/m m m'
_space_group_IT_number 123
_space_group_name_Hall '-P 4 2'
loop_
_atom_site_label
_atom_site_fract_x
_atom_site_fract_y
_atom_site_fract_z
Sr1 0.000 0.000 0.000
Zn1 0.000 0.500 0.500
Pt1 0.000 0.000 0.500
I1 0.500 0.500 0.000
```

Summary:
* Fermi-level density of states: 0.25 states/eV per atom
* spin magnetization: 0.00 μB/f.u.
* final energy: -3.0183 eV per atom



Sr2ZnPtI | PBE | relaxed

The structure in CIF format:
```
data_Sr2ZnPtI
_chemical_formula_sum 'Sr2 Zn1 Pt1 I1'
_cell_length_a 5.928
_cell_length_b 5.928
_cell_length_c 4.905
_cell_angle_alpha 90.00
_cell_angle_beta 90.00
_cell_angle_gamma 90.00
_space_group_name_H-M_alt 'P 4/m m m'
_space_group_IT_number 123
_space_group_name_Hall '-P 4 2'
loop_
_atom_site_label
_atom_site_fract_x
_atom_site_fract_y
_atom_site_fract_z
Sr1 0.000 0.500 0.000
Zn1 0.000 0.000 0.500
Pt1 0.000 0.000 0.000
I1 0.500 0.500 0.500
```

Summary:
* Fermi-level density of states: 0.90 states/eV per atom
* spin magnetization: 0.00 μB/f.u.
* final energy: -3.2278 eV per atom



TaPt2I | PBE | relaxed

The structure in CIF format:
```
data_TaPt2I
_chemical_formula_sum 'Ta4 Pt8 I4'
_cell_length_a 6.753
_cell_length_b 6.753
_cell_length_c 9.058
_cell_angle_alpha 90.00
_cell_angle_beta 90.00
_cell_angle_gamma 90.00
_space_group_name_H-M_alt 'I -4 2 d'
_space_group_IT_number 122
_space_group_name_Hall 'I -4 2bw'
loop_
_atom_site_label
_atom_site_fract_x
_atom_site_fract_y
_atom_site_fract_z
Ta1 0.000 0.000 0.000
Pt1 0.213 0.750 0.125
I1 0.000 0.000 0.500
```

Summary:
* Fermi-level density of states: 0.08 states/eV per atom
* spin magnetization: 0.00 μB/f.u.
* final energy: -6.1578 eV per atom



TaPtI | PBE | relaxed

The structure in CIF format:
```
data_TaPtI
_chemical_formula_sum 'Ta4 Pt4 I4'
_cell_length_a 6.746
_cell_length_b 3.897
_cell_length_c 12.250
_cell_angle_alpha 90.00
_cell_angle_beta 100.23
_cell_angle_gamma 90.00
_space_group_name_H-M_alt 'C 1 m 1'
_space_group_IT_number 8
_space_group_name_Hall 'C -2y'
loop_
_atom_site_label
_atom_site_fract_x
_atom_site_fract_y
_atom_site_fract_z
Ta1 0.000 0.000 0.000
Ta2 0.058 0.500 0.663
Pt1 0.135 0.500 0.903
Pt2 0.255 0.000 0.759
I1 0.337 0.500 0.494
I2 0.387 0.000 0.166
```

Summary:
* Fermi-level density of states: 0.49 states/eV per atom
* spin magnetization: 0.00 μB/f.u.
* final energy: -6.7542 eV per atom



TaPt3I | PBE | relaxed

The structure in CIF format:
```
data_TaPt3I
_chemical_formula_sum 'Ta1 Pt3 I1'
_cell_length_a 4.897
_cell_length_b 4.897
_cell_length_c 4.897
_cell_angle_alpha 90.00
_cell_angle_beta 90.00
_cell_angle_gamma 90.00
_space_group_name_H-M_alt 'P m -3 m'
_space_group_IT_number 221
_space_group_name_Hall '-P 4 2 3'
loop_
_atom_site_label
_atom_site_fract_x
_atom_site_fract_y
_atom_site_fract_z
Ta1 0.000 0.000 0.000
Pt1 0.000 0.500 0.500
I1 0.500 0.500 0.500
```

Summary:
* Fermi-level density of states: 1.55 states/eV per atom
* spin magnetization: 2.54 μB/f.u.
* final energy: -4.7224 eV per atom



TaPtI | PBE | relaxed

The structure in CIF format:
```
data_TaPtI
_chemical_formula_sum 'Ta2 Pt2 I2'
_cell_length_a 4.091
_cell_length_b 3.765
_cell_length_c 10.399
_cell_angle_alpha 90.00
_cell_angle_beta 92.02
_cell_angle_gamma 90.00
_space_group_name_H-M_alt 'P 1 21/m 1'
_space_group_IT_number 11
_space_group_name_Hall '-P 2yb'
loop_
_atom_site_label
_atom_site_fract_x
_atom_site_fract_y
_atom_site_fract_z
Ta1 0.055 0.250 0.368
Pt1 0.361 0.250 0.584
I1 0.243 0.750 0.169
```

Summary:
* Fermi-level density of states: 0.31 states/eV per atom
* spin magnetization: 0.00 μB/f.u.
* final energy: -6.7436 eV per atom



TaPtI | PBE | relaxed

The structure in CIF format:
```
data_TaPtI
_chemical_formula_sum 'Ta4 Pt4 I4'
_cell_length_a 3.485
_cell_length_b 3.485
_cell_length_c 24.162
_cell_angle_alpha 90.00
_cell_angle_beta 90.00
_cell_angle_gamma 90.00
_space_group_name_H-M_alt 'I -4 m 2'
_space_group_IT_number 119
_space_group_name_Hall 'I -4 -2'
loop_
_atom_site_label
_atom_site_fract_x
_atom_site_fract_y
_atom_site_fract_z
Ta1 0.000 0.000 0.168
Pt1 0.000 0.000 0.284
I1 0.000 0.500 0.576
```

Summary:
* Fermi-level density of states: 0.76 states/eV per atom
* spin magnetization: 0.00 μB/f.u.
* final energy: -6.7645 eV per atom



Ta2PtI | PBE | relaxed

The structure in CIF format:
```
data_Ta2PtI
_chemical_formula_sum 'Ta8 Pt4 I4'
_cell_length_a 5.957
_cell_length_b 5.957
_cell_length_c 12.489
_cell_angle_alpha 90.00
_cell_angle_beta 90.00
_cell_angle_gamma 90.00
_space_group_name_H-M_alt 'I -4 2 d'
_space_group_IT_number 122
_space_group_name_Hall 'I -4 2bw'
loop_
_atom_site_label
_atom_site_fract_x
_atom_site_fract_y
_atom_site_fract_z
Ta1 0.203 0.250 0.125
Pt1 0.000 0.000 0.000
I1 0.000 0.000 0.500
```

Summary:
* Fermi-level density of states: 0.48 states/eV per atom
* spin magnetization: 0.00 μB/f.u.
* final energy: -6.9533 eV per atom



TaPt3I | PBE | relaxed

The structure in CIF format:
```
data_TaPt3I
_chemical_formula_sum 'Ta1 Pt3 I1'
_cell_length_a 4.972
_cell_length_b 4.972
_cell_length_c 4.972
_cell_angle_alpha 90.00
_cell_angle_beta 90.00
_cell_angle_gamma 90.00
_space_group_name_H-M_alt 'P m -3 m'
_space_group_IT_number 221
_space_group_name_Hall '-P 4 2 3'
loop_
_atom_site_label
_atom_site_fract_x
_atom_site_fract_y
_atom_site_fract_z
Ta1 0.000 0.000 0.000
Pt1 0.000 0.000 0.500
I1 0.500 0.500 0.500
```

Summary:
* Fermi-level density of states: 1.43 states/eV per atom
* spin magnetization: 0.00 μB/f.u.
* final energy: -5.3458 eV per atom